Record 1
# AgP2

AgP2 after structural relaxation (PBE, Alexandria via LeMat-Bulk).

abc: 6.7739 6.7739 5.0860
angles: 94.77 94.77 28.30
Atoms (fractional coordinates):
Ag1 0.3001 0.3001 0.4594
Ag2 0.6443 0.6443 0.1517
P1 0.9537 0.9537 0.0145
P2 0.6063 0.6063 0.6410
P3 0.9908 0.9908 0.5966
P4 0.3381 0.3381 0.9701

The calculation puts the polymorph energy (0 for the lowest one) at 0.072 eV per atom. The formation energy is 0.071 eV/atom.

***

Record 2
# BaAlZn2Ag4

BaAlZn2Ag4 after structural relaxation (PBE, Alexandria via LeMat-Bulk).

abc: 4.5383 4.5383 10.1099
angles: 77.03 77.03 60.00
Atoms (fractional coordinates):
Ba1 0.0000 0.0000 0.0000
Al1 0.5000 0.5000 0.5000
Zn1 0.7615 0.7615 0.7156
Zn2 0.2385 0.2385 0.2844
Ag1 0.4111 0.4111 0.7667
Ag2 0.8638 0.8638 0.4085
Ag3 0.1362 0.1362 0.5915
Ag4 0.5889 0.5889 0.2333

The formation energy is -0.081 eV/atom.

***

Record 3
# BaTa4Cl

BaTa4Cl after structural relaxation (PBE, Alexandria via LeMat-Bulk).

abc: 5.9224 5.9224 5.9224
angles: 60.00 60.00 60.00
Atoms (fractional coordinates):
Ba1 0.7500 0.7500 0.7500
Ta1 0.8427 0.3858 0.3858
Ta2 0.3858 0.3858 0.8427
Ta3 0.3858 0.8427 0.3858
Ta4 0.3858 0.3858 0.3858
Cl1 0.0000 0.0000 0.0000

For the total energy, the calculation gives -7.519 eV per atom.

***

Record 4
# K3Tb2CeTe6

K3Tb2CeTe6 after structural relaxation (PBE, Alexandria via LeMat-Bulk).

abc: 7.9059 7.9059 8.6535
angles: 98.77 98.77 120.00
Last column: magnetic moment on the atom in μB.
Atoms (fractional coordinates):
K1 0.1651 0.8349 0.5000  0.00
K2 0.8349 0.1651 0.5000  0.00
K3 0.5000 0.5000 0.5000  0.00
Tb1 0.3331 0.6669 0.0000  0.00
Tb2 0.6669 0.3331 0.0000  0.00
Ce1 0.0000 0.0000 0.0000  0.99
Te1 0.9296 0.5888 0.7892  -0.01
Te2 0.7292 0.7292 0.2104  -0.01
Te3 0.0704 0.4112 0.2108  -0.01
Te4 0.5888 0.9296 0.7892  -0.01
Te5 0.2708 0.2708 0.7896  -0.01
Te6 0.4112 0.0704 0.2108  -0.01

For the total energy, the calculation gives -4.491 eV per atom.

***

Record 5
# TlGe3Ru

TlGe3Ru after structural relaxation (PBE, Alexandria via LeMat-Bulk).

abc: 4.8457 4.8457 4.8457
angles: 90.00 90.00 90.00
Atoms (fractional coordinates):
Ru1 0.0000 0.0000 0.0000
Tl1 0.5000 0.5000 0.5000
Ge1 0.0000 0.5000 0.0000
Ge2 0.0000 0.0000 0.5000
Ge3 0.5000 0.0000 0.0000

The calculation puts the polymorph energy (0 for the lowest one) at 0.000 eV per atom. The formation energy is 0.210 eV/atom.

***

Record 6
# ReHg3Au

ReHg3Au after structural relaxation (PBE, Alexandria via LeMat-Bulk).

abc: 5.3442 5.3442 5.3442
angles: 90.00 90.00 90.00
Last column: magnetic moment on the atom in μB.
Atoms (fractional coordinates):
Re1 0.5000 0.5000 0.5000  3.90
Au1 0.0000 0.0000 0.0000  0.00
Hg1 0.0000 0.5000 0.0000  0.01
Hg2 0.0000 0.0000 0.5000  0.01
Hg3 0.5000 0.0000 0.0000  0.04

The calculation puts the polymorph energy (0 for the lowest one) at 0.235 eV per atom. The formation energy is 1.378 eV/atom.

***

Record 7
# SiAsP2

SiAsP2 after structural relaxation (PBE, Alexandria via LeMat-Bulk).

abc: 4.4021 4.4000 4.3962
angles: 70.38 70.89 109.67
Atoms (fractional coordinates):
As1 0.5000 0.5000 0.0000
P1 0.0000 0.0000 0.0000
P2 0.5000 0.0000 0.5000
Si1 0.0000 0.5000 0.5000

The calculation puts the polymorph energy (0 for the lowest one) at 0.054 eV per atom.

***

Record 8
# ReSbN2Cl

ReSbN2Cl after structural relaxation (PBE, Alexandria via LeMat-Bulk).

abc: 4.0577 5.3941 4.0577
angles: 90.00 90.00 90.00
Last column: magnetic moment on the atom in μB.
Atoms (fractional coordinates):
Re1 0.5000 0.5000 0.5000  3.95
N1 0.0000 0.0000 0.5000  0.10
N2 0.5000 0.0000 0.0000  0.12
Cl1 0.0000 0.5000 0.0000  0.06
Sb1 0.0000 0.0000 0.0000  0.01

For the total energy, the calculation gives -4.943 eV per atom.

***

Record 9
# PrTl3Pb

PrTl3Pb after structural relaxation (PBE, Alexandria via LeMat-Bulk).

abc: 4.7002 8.1418 8.2240
angles: 90.00 90.00 90.00
Atoms (fractional coordinates):
Pr1 0.5000 0.0000 0.2566
Pr2 0.0000 0.5000 0.7434
Tl1 0.0000 0.7032 0.2451
Tl2 0.5000 0.7968 0.7549
Tl3 0.5000 0.2032 0.7549
Tl4 0.0000 0.2968 0.2451
Tl5 0.0000 0.0000 0.9551
Tl6 0.5000 0.5000 0.0449
Pb1 0.0000 0.0000 0.5560
Pb2 0.5000 0.5000 0.4440

The formation energy is -0.095 eV/atom.

***

Record 10
# K3Er3ReO8

K3Er3ReO8 after structural relaxation (PBE, Alexandria via LeMat-Bulk).

abc: 6.7228 6.7227 7.3819
angles: 117.09 90.00 120.00
Last column: magnetic moment on the atom in μB.
Atoms (fractional coordinates):
K1 0.0000 0.0000 0.0000  0.00
K2 0.0000 0.5000 0.0000  0.00
K3 0.5000 0.5000 0.0000  0.00
Er1 0.5000 0.0000 0.5000  0.03
Er2 0.5000 0.5000 0.5000  0.03
Er3 0.0000 0.5000 0.5000  0.03
Re1 0.0000 0.0000 0.5000  2.21
O1 0.2731 0.5461 0.3192  0.00
O2 0.7269 0.4539 0.6808  0.00
O3 0.7873 0.5746 0.3271  0.07
O4 0.2127 0.4254 0.6729  0.07
O5 0.7873 0.0397 0.3271  0.07
O6 0.2127 0.9603 0.6729  0.07
O7 0.2524 0.0397 0.3271  0.07
O8 0.7476 0.9603 0.6729  0.07

For the total energy, the calculation gives -7.098 eV per atom.

***

Record 11
# FeNiPd3

FeNiPd3 after structural relaxation (PBE, Alexandria via LeMat-Bulk).

abc: 4.8615 4.8615 4.8615
angles: 110.35 110.35 110.35
Last column: magnetic moment on the atom in μB.
Atoms (fractional coordinates):
Fe1 0.7590 0.7590 0.7590  3.25
Ni1 0.2817 0.2817 0.2817  0.81
Pd1 0.7113 0.1865 0.1865  0.34
Pd2 0.1865 0.7113 0.1865  0.34
Pd3 0.1865 0.1865 0.7113  0.34

The calculation puts the polymorph energy (0 for the lowest one) at 0.310 eV per atom. The formation energy is 0.479 eV/atom.

***

Record 12
# CeGa2Au

CeGa2Au after structural relaxation (PBE, Alexandria via LeMat-Bulk).

abc: 4.4312 4.3710 4.3710
angles: 90.00 90.00 90.00
Last column: magnetic moment on the atom in μB.
Atoms (fractional coordinates):
Au1 0.5000 0.5000 0.5000  0.02
Ga1 0.0000 0.0000 0.5000  0.02
Ga2 0.0000 0.5000 0.0000  0.02
Ce1 0.5000 0.0000 0.0000  0.63

The formation energy is -0.460 eV/atom.